Entry 1:
Compound: KCu4P3O12
Source: Alexandria
Functional: meta-GGA SCAN
Structure: PBEsol geometry

Lattice parameters (Å, degrees): 7.445 7.821 9.444 69.83 66.80 87.62
Space group P-1 (No. 2)
One atom of each set of equivalent atoms:
K 0.019 0.133 0.176 [2 per cell]
Cu 0.022 0.379 0.785 [2 per cell]
Cu 0.343 0.466 0.422 [2 per cell]
Cu 0.366 0.102 0.399 [2 per cell]
Cu 0.423 0.788 0.055 [2 per cell]
P 0.076 0.749 0.449 [2 per cell]
P 0.313 0.548 0.890 [2 per cell]
P 0.367 0.147 0.750 [2 per cell]
O 0.129 0.567 0.552 [2 per cell]
O 0.140 0.538 0.843 [2 per cell]
O 0.143 0.755 0.268 [2 per cell]
O 0.147 0.150 0.847 [2 per cell]
O 0.153 0.257 0.474 [2 per cell]
O 0.169 0.914 0.453 [2 per cell]
O 0.255 0.673 0.997 [2 per cell]
O 0.356 0.360 0.984 [2 per cell]
O 0.394 0.015 0.653 [2 per cell]
O 0.463 0.341 0.630 [2 per cell]
O 0.467 0.061 0.873 [2 per cell]
O 0.498 0.352 0.269 [2 per cell]

Entry 2:
Compound: KCuPO4
Source: Alexandria
Functional: meta-GGA SCAN
Structure: PBEsol geometry

The energy above the most stable polymorph in this dataset comes out at 0.0000 eV/atom.

Lattice parameters (Å, degrees): 6.666 17.820 6.860 90.00 90.00 90.00
Space group Pbca (No. 61)
One atom of each set of equivalent atoms:
K 0.011 0.174 0.035 [8 per cell]
Cu 0.230 0.503 0.283 [8 per cell]
P 0.012 0.605 0.978 [8 per cell]
O 0.065 0.082 0.728 [8 per cell]
O 0.089 0.685 0.978 [8 per cell]
O 0.152 0.096 0.363 [8 per cell]
O 0.189 0.547 0.026 [8 per cell]

Entry 3:
Compound: KCuPO4
Source: Alexandria
Functional: meta-GGA SCAN
Structure: PBEsol geometry

The energy above the most stable polymorph in this dataset comes out at 0.0098 eV/atom.

Lattice parameters (Å, degrees): 4.955 9.619 8.223 90.00 92.88 90.00
Space group P2_1 (No. 4)
One atom of each set of equivalent atoms:
K 0.220 0.000 0.270 [2 per cell]
K 0.238 0.852 0.757 [2 per cell]
Cu 0.238 0.218 0.921 [2 per cell]
Cu 0.352 0.619 0.405 [2 per cell]
P 0.249 0.537 0.043 [2 per cell]
P 0.263 0.309 0.562 [2 per cell]
O 0.037 0.776 0.441 [2 per cell]
O 0.089 0.664 0.972 [2 per cell]
O 0.143 0.408 0.948 [2 per cell]
O 0.199 0.514 0.226 [2 per cell]
O 0.309 0.468 0.558 [2 per cell]
O 0.415 0.227 0.431 [2 per cell]
O 0.425 0.253 0.722 [2 per cell]
O 0.444 0.056 0.982 [2 per cell]

Entry 4:
Compound: K2CuP2O7
Source: Alexandria
Functional: meta-GGA SCAN
Structure: PBEsol geometry

Lattice parameters (Å, degrees): 14.196 5.249 9.565 90.00 90.00 90.00
Space group Pnma (No. 62)
One atom of each set of equivalent atoms:
K 0.094 0.250 0.129 [4 per cell]
K 0.211 0.750 0.360 [4 per cell]
Cu 0.162 0.750 0.731 [4 per cell]
P 0.048 0.250 0.770 [4 per cell]
P 0.182 0.250 0.554 [4 per cell]
O 0.057 0.750 0.215 [4 per cell]
O 0.072 0.250 0.603 [4 per cell]
O 0.095 0.010 0.834 [8 per cell]
O 0.184 0.250 0.396 [4 per cell]
O 0.226 0.006 0.618 [8 per cell]

Entry 5:
Compound: K2Cu5TeS3O19
Source: Alexandria
Functional: meta-GGA SCAN
Structure: PBEsol geometry

Lattice parameters (Å, degrees): 7.500 12.008 9.263 90.00 112.69 90.00
Space group P2_1/m (No. 11)
One atom of each set of equivalent atoms:
K 0.000 0.000 0.000 [2 per cell]
K 0.048 0.250 0.462 [2 per cell]
Cu 0.467 0.625 0.738 [4 per cell]
Cu 0.474 0.134 0.717 [4 per cell]
Cu 0.500 0.000 0.000 [2 per cell]
Te 0.216 0.250 0.932 [2 per cell]
S 0.200 0.750 0.946 [2 per cell]
S 0.211 0.554 0.400 [4 per cell]
O 0.015 0.250 0.101 [2 per cell]
O 0.045 0.605 0.275 [4 per cell]
O 0.172 0.055 0.448 [4 per cell]
O 0.245 0.750 0.804 [2 per cell]
O 0.276 0.636 0.533 [4 per cell]
O 0.281 0.648 0.039 [4 per cell]
O 0.331 0.250 0.772 [2 per cell]
O 0.359 0.120 0.047 [4 per cell]
O 0.373 0.533 0.342 [4 per cell]
O 0.384 0.010 0.786 [4 per cell]
O 0.410 0.250 0.278 [2 per cell]
O 0.476 0.750 0.380 [2 per cell]

no.,uncorrected formation energy (eV/atom)
1,-1.8584
2,-2.0685
3,-2.0587
4,-2.2601
5,-1.2211